Entry 1:
# Nd4CdIr2

A relaxed Nd4CdIr2 crystal (PBE, the Alexandria database).

```
data_Nd4CdIr2
_chemical_formula_sum 'Nd8 Cd2 Ir4'
_space_group_name_H-M_alt 'P 1'
_space_group_IT_number 1
_cell_length_a 7.132
_cell_length_b 7.150
_cell_length_c 8.843
_cell_angle_alpha 107.91
_cell_angle_beta 107.82
_cell_angle_gamma 103.82
loop_
_space_group_symop_operation_xyz
'x,y,z'
loop_
_atom_site_label
_atom_site_type_symbol
_atom_site_fract_x
_atom_site_fract_y
_atom_site_fract_z
Nd1 Nd 0.000 0.000 0.000
Nd2 Nd 0.018 0.520 0.040
Nd3 Nd 0.155 0.300 0.468
Nd4 Nd 0.436 0.261 0.878
Nd5 Nd 0.553 0.845 0.595
Nd6 Nd 0.579 0.903 0.162
Nd7 Nd 0.707 0.352 0.571
Nd8 Nd 0.979 0.771 0.447
Cd1 Cd 0.226 0.704 0.786
Cd2 Cd 0.461 0.442 0.254
Ir1 Ir 0.283 0.964 0.327
Ir2 Ir 0.624 0.628 0.838
Ir3 Ir 0.804 0.310 0.202
Ir4 Ir 0.976 0.158 0.713
```

D(E_F): 6.33 states/eV/f.u.
mass density: 9.386 Mg/m³
offset from the most stable computed form: 0.0 meV/atom
uncorrected energy: -5.87 eV per atom

---

Entry 2:
# Nd11Cd9Ir4

A relaxed Nd11Cd9Ir4 crystal (PBE, the Alexandria database).

```
data_Nd11Cd9Ir4
_chemical_formula_sum 'Nd22 Cd18 Ir8'
_space_group_name_H-M_alt 'C m m m'
_space_group_IT_number 65
_space_group_name_Hall '-C 2 2'
_cell_length_a 14.805
_cell_length_b 22.242
_cell_length_c 3.849
_cell_angle_alpha 90.00
_cell_angle_beta 90.00
_cell_angle_gamma 90.00
loop_
_atom_site_label
_atom_site_type_symbol
_atom_site_fract_x
_atom_site_fract_y
_atom_site_fract_z
Nd1 Nd 0.000 0.000 0.000
Nd2 Nd 0.000 0.162 0.000
Nd3 Nd 0.000 0.373 0.000
Nd4 Nd 0.192 0.500 0.000
Nd5 Nd 0.248 0.167 0.000
Cd1 Cd 0.000 0.500 0.500
Cd2 Cd 0.104 0.262 0.500
Cd3 Cd 0.143 0.071 0.500
Ir1 Ir 0.149 0.399 0.500
```

D(E_F): 18.29 states/eV/f.u.
mass density: 8.824 Mg/m³
uncorrected energy: -4.48 eV per atom

---

Entry 3:
# Nd2Cd3Ir2

A relaxed Nd2Cd3Ir2 crystal (PBE, the Alexandria database).

```
data_Nd2Cd3Ir2
_chemical_formula_sum 'Nd4 Cd6 Ir4'
_space_group_name_H-M_alt 'C 1 2/m 1'
_space_group_IT_number 12
_cell_length_a 10.380
_cell_length_b 4.332
_cell_length_c 7.311
_cell_angle_alpha 90.00
_cell_angle_beta 99.21
_cell_angle_gamma 90.00
loop_
_space_group_symop_operation_xyz
'x,y,z'
'-x,-y,-z'
'-x,y,-z'
'x,-y,z'
'x+1/2,y+1/2,z'
'-x+1/2,-y+1/2,-z'
'-x+1/2,y+1/2,-z'
'x+1/2,-y+1/2,z'
loop_
_atom_site_label
_atom_site_type_symbol
_atom_site_fract_x
_atom_site_fract_y
_atom_site_fract_z
Nd1 Nd 0.125 0.000 0.357
Cd1 Cd 0.000 0.500 0.000
Cd2 Cd 0.193 0.000 0.869
Ir1 Ir 0.084 0.500 0.648
```

D(E_F): 4.68 states/eV/f.u.
mass density: 10.338 Mg/m³
uncorrected energy: -4.69 eV per atom

---

Entry 4:
# Nd2CdIr

A relaxed Nd2CdIr crystal (PBE, the Alexandria database).

```
data_Nd2CdIr
_chemical_formula_sum 'Nd8 Cd4 Ir4'
_space_group_name_H-M_alt 'C m c m'
_space_group_IT_number 63
_space_group_name_Hall '-C 2c 2'
_cell_length_a 4.041
_cell_length_b 14.778
_cell_length_c 7.457
_cell_angle_alpha 90.00
_cell_angle_beta 90.00
_cell_angle_gamma 90.00
loop_
_atom_site_label
_atom_site_type_symbol
_atom_site_fract_x
_atom_site_fract_y
_atom_site_fract_z
Nd1 Nd 0.000 0.142 0.002
Cd1 Cd 0.000 0.495 0.750
Ir1 Ir 0.000 0.298 0.750
```

D(E_F): 2.42 states/eV/f.u.
mass density: 8.846 Mg/m³
offset from the most stable computed form: 0.0 meV/atom
uncorrected energy: -5.33 eV per atom

---

Entry 5:
# Nd2CdIr

A relaxed Nd2CdIr crystal (PBE, the Alexandria database).

```
data_Nd2CdIr
_chemical_formula_sum 'Nd8 Cd4 Ir4'
_space_group_name_H-M_alt 'F m -3 m'
_space_group_IT_number 225
_space_group_name_Hall '-F 4 2 3'
_cell_length_a 7.363
_cell_length_b 7.363
_cell_length_c 7.363
_cell_angle_alpha 90.00
_cell_angle_beta 90.00
_cell_angle_gamma 90.00
loop_
_atom_site_label
_atom_site_type_symbol
_atom_site_fract_x
_atom_site_fract_y
_atom_site_fract_z
Nd1 Nd 0.250 0.250 0.250
Cd1 Cd 0.000 0.000 0.000
Ir1 Ir 0.000 0.000 0.500
```

D(E_F): 2.18 states/eV/f.u.
mass density: 9.870 Mg/m³
offset from the most stable computed form: 90.6 meV/atom
uncorrected energy: -5.24 eV per atom

---

Entry 6:
# Nd7Cd2Ir2

A relaxed Nd7Cd2Ir2 crystal (PBE, the Alexandria database).

```
data_Nd7Cd2Ir2
_chemical_formula_sum 'Nd14 Cd4 Ir4'
_space_group_name_H-M_alt 'C m m m'
_space_group_IT_number 65
_space_group_name_Hall '-C 2 2'
_cell_length_a 8.342
_cell_length_b 11.263
_cell_length_c 7.379
_cell_angle_alpha 90.00
_cell_angle_beta 90.00
_cell_angle_gamma 90.00
loop_
_atom_site_label
_atom_site_type_symbol
_atom_site_fract_x
_atom_site_fract_y
_atom_site_fract_z
Nd1 Nd 0.000 0.000 0.000
Nd2 Nd 0.000 0.500 0.244
Nd3 Nd 0.250 0.250 0.251
Cd1 Cd 0.172 0.000 0.500
Ir1 Ir 0.000 0.288 0.000
```

D(E_F): 12.58 states/eV/f.u.
mass density: 7.755 Mg/m³
uncorrected energy: -5.15 eV per atom

---

Entry 7:
# Nd5CdIr2

A relaxed Nd5CdIr2 crystal (PBE, the Alexandria database).

```
data_Nd5CdIr2
_chemical_formula_sum 'Nd20 Cd4 Ir8'
_space_group_name_H-M_alt 'I 4/m c m'
_space_group_IT_number 140
_space_group_name_Hall '-I 4 2c'
_cell_length_a 8.069
_cell_length_b 8.069
_cell_length_c 13.874
_cell_angle_alpha 90.00
_cell_angle_beta 90.00
_cell_angle_gamma 90.00
loop_
_atom_site_label
_atom_site_type_symbol
_atom_site_fract_x
_atom_site_fract_y
_atom_site_fract_z
Nd1 Nd 0.000 0.000 0.000
Nd2 Nd 0.161 0.339 0.132
Cd1 Cd 0.000 0.000 0.250
Ir1 Ir 0.138 0.362 0.500
```

D(E_F): 7.82 states/eV/f.u.
mass density: 8.956 Mg/m³
uncorrected energy: -5.81 eV per atom

---

Entry 8:
# Nd8CdIr2

A relaxed Nd8CdIr2 crystal (PBE, the Alexandria database).

```
data_Nd8CdIr2
_chemical_formula_sum 'Nd16 Cd2 Ir4'
_space_group_name_H-M_alt 'C 1 2/m 1'
_space_group_IT_number 12
_cell_length_a 8.843
_cell_length_b 13.824
_cell_length_c 5.713
_cell_angle_alpha 90.00
_cell_angle_beta 103.67
_cell_angle_gamma 90.00
loop_
_space_group_symop_operation_xyz
'x,y,z'
'-x,-y,-z'
'-x,y,-z'
'x,-y,z'
'x+1/2,y+1/2,z'
'-x+1/2,-y+1/2,-z'
'-x+1/2,y+1/2,-z'
'x+1/2,-y+1/2,z'
loop_
_atom_site_label
_atom_site_type_symbol
_atom_site_fract_x
_atom_site_fract_y
_atom_site_fract_z
Nd1 Nd 0.000 0.249 0.000
Nd2 Nd 0.107 0.500 0.802
Nd3 Nd 0.203 0.127 0.566
Cd1 Cd 0.000 0.000 0.000
Ir1 Ir 0.000 0.300 0.500
```

D(E_F): 14.45 states/eV/f.u.
mass density: 8.079 Mg/m³
uncorrected energy: -5.44 eV per atom

---

Entry 9:
# Nd2CdIr

A relaxed Nd2CdIr crystal (PBE, the Alexandria database).

```
data_Nd2CdIr
_chemical_formula_sum 'Nd6 Cd3 Ir3'
_space_group_name_H-M_alt 'R 3 m'
_space_group_IT_number 160
_space_group_name_Hall 'R 3 -2"'
_cell_length_a 4.2212
_cell_length_b 4.2212
_cell_length_c 23.2936
_cell_angle_alpha 90.00
_cell_angle_beta 90.00
_cell_angle_gamma 120.00
loop_
_atom_site_label
_atom_site_type_symbol
_atom_site_fract_x
_atom_site_fract_y
_atom_site_fract_z
Nd1 Nd 0.0000 0.0000 0.0000
Nd2 Nd 0.0000 0.0000 0.2046
Cd1 Cd 0.0000 0.0000 0.7678
Ir1 Ir 0.0000 0.0000 0.6037
```

D(E_F): 2.57 states/eV/f.u.
mass density: 8.220 Mg/m³
offset from the most stable computed form: 75.9 meV/atom
uncorrected energy: -5.26 eV per atom

---

Entry 10:
# Nd3Cd5Ir2

A relaxed Nd3Cd5Ir2 crystal (PBE, the Alexandria database).

```
data_Nd3Cd5Ir2
_chemical_formula_sum 'Nd12 Cd20 Ir8'
_space_group_name_H-M_alt 'I b a m'
_space_group_IT_number 72
_space_group_name_Hall '-I 2 2c'
_cell_length_a 12.405
_cell_length_b 12.745
_cell_length_c 6.251
_cell_angle_alpha 90.00
_cell_angle_beta 90.00
_cell_angle_gamma 90.00
loop_
_atom_site_label
_atom_site_type_symbol
_atom_site_fract_x
_atom_site_fract_y
_atom_site_fract_z
Nd1 Nd 0.000 0.000 0.250
Nd2 Nd 0.152 0.251 0.000
Cd1 Cd 0.000 0.500 0.250
Cd2 Cd 0.096 0.342 0.500
Cd3 Cd 0.238 0.500 0.250
Ir1 Ir 0.143 0.139 0.500
```

D(E_F): 6.80 states/eV/f.u.
mass density: 9.270 Mg/m³
uncorrected energy: -3.92 eV per atom

---

Entry 11:
# Nd6CdIr

A relaxed Nd6CdIr crystal (PBE, the Alexandria database).

```
data_Nd6CdIr
_chemical_formula_sum 'Nd6 Cd1 Ir1'
_space_group_name_H-M_alt 'P -1'
_space_group_IT_number 2
_cell_length_a 7.028
_cell_length_b 7.063
_cell_length_c 7.785
_cell_angle_alpha 90.29
_cell_angle_beta 116.46
_cell_angle_gamma 119.81
loop_
_space_group_symop_operation_xyz
'x,y,z'
'-x,-y,-z'
loop_
_atom_site_label
_atom_site_type_symbol
_atom_site_fract_x
_atom_site_fract_y
_atom_site_fract_z
Nd1 Nd 0.038 0.080 0.251
Nd2 Nd 0.293 0.713 0.250
Nd3 Nd 0.326 0.541 0.750
Cd1 Cd 0.500 0.000 0.000
Ir1 Ir 0.500 0.500 0.500
```

D(E_F): 12.26 states/eV/f.u.
mass density: 6.768 Mg/m³
uncorrected energy: -4.86 eV per atom

---

Entry 12:
# Nd8Cd2Ir

A relaxed Nd8Cd2Ir crystal (PBE, the Alexandria database).

```
data_Nd8Cd2Ir
_chemical_formula_sum 'Nd16 Cd4 Ir2'
_space_group_name_H-M_alt 'C 1 2/m 1'
_space_group_IT_number 12
_cell_length_a 18.430
_cell_length_b 5.398
_cell_length_c 7.058
_cell_angle_alpha 90.00
_cell_angle_beta 105.65
_cell_angle_gamma 90.00
loop_
_space_group_symop_operation_xyz
'x,y,z'
'-x,-y,-z'
'-x,y,-z'
'x,-y,z'
'x+1/2,y+1/2,z'
'-x+1/2,-y+1/2,-z'
'-x+1/2,y+1/2,-z'
'x+1/2,-y+1/2,z'
loop_
_atom_site_label
_atom_site_type_symbol
_atom_site_fract_x
_atom_site_fract_y
_atom_site_fract_z
Nd1 Nd 0.020 0.000 0.285
Nd2 Nd 0.090 0.500 0.926
Nd3 Nd 0.151 0.500 0.454
Nd4 Nd 0.202 0.000 0.796
Cd1 Cd 0.186 0.000 0.224
Ir1 Ir 0.000 0.500 0.500
```

D(E_F): 11.68 states/eV/f.u.
mass density: 7.717 Mg/m³
uncorrected energy: -4.66 eV per atom

---

Calculated ΔE_f in order - -485.0, -472.1, -407.5, -503.7, -413.1, -334.0, -502.5, -279.7, -427.8, -256.2, -64.2, -219.5 meV/atom